# 1
BeAlBOs2: relaxed, PBE.

Cell lengths 4.0647, 4.0647, 3.9062 Å; angles 90.00, 90.00, 90.00 degrees
Last column: nearest neighbours and their distance in Å.
Space group P4/mmm (No. 123)
Symmetry-distinct sites (fractional):
Be 0.0000 0.0000 0.0000  8 Os 2.82, 4 Al 2.87
Al 0.5000 0.5000 0.0000  2 B 1.95
B 0.5000 0.5000 0.5000  2 Al 1.95, 4 Os 2.03
Os 0.0000 0.5000 0.5000  2 B 2.03

Properties
Formation enthalpy at 0 K   29.9 kJ per mole of atoms
Total energy   -7.01 eV/atom
Crystal system   tetragonal
N(E_F)   2.3 states/eV/cell

---

# 2
RbBeAl2B: relaxed, PBE.

Cell lengths 5.9191, 5.9191, 4.8838 Å; angles 90.00, 90.00, 90.00 degrees
Last column: nearest neighbours and their distance in Å.
Space group P4/mmm (No. 123)
Symmetry-distinct sites (fractional):
Rb 0.0000 0.0000 0.0000  2 B 2.44
Be 0.5000 0.5000 0.5000  8 Al 3.84, 4 B 4.19
Al 0.0000 0.5000 0.0000  2 Rb 2.96
B 0.0000 0.0000 0.5000  2 Rb 2.44

Properties
Formation enthalpy at 0 K   256.7 kJ per mole of atoms
Total energy   -1.11 eV/atom
Crystal system   tetragonal
N(E_F)   4.4 states/eV/cell

---

# 3
BeAl2B2Ru5: relaxed, PBE.

Cell lengths 9.0412, 9.0412, 2.8934 Å; angles 90.00, 90.00, 90.00 degrees
Last column: nearest neighbours and their distance in Å.
Space group P4/mbm (No. 127)
Symmetry-distinct sites (fractional):
Be 0.0000 0.0000 0.0000  8 Ru 2.42
Al 0.1721 0.3279 0.0000  3 B 2.52-2.77, 6 Ru 2.63-2.70
B 0.1310 0.6310 0.0000  6 Ru 2.16-2.21
Ru 0.0000 0.5000 0.5000  4 B 2.21
Ru 0.0777 0.7997 0.5000  2 B 2.16

Properties
Formation enthalpy at 0 K   -34.8 kJ per mole of atoms
Total energy   -7.45 eV/atom
Crystal system   tetragonal
N(E_F)   13.6 states/eV/cell

---

# 4
Zr2BeAlB: relaxed, PBE.

Cell lengths 4.5989, 4.5989, 4.0610 Å; angles 90.00, 90.00, 90.00 degrees
Last column: nearest neighbours and their distance in Å.
Space group P4/mmm (No. 123)
Symmetry-distinct sites (fractional):
Zr 0.0000 0.5000 0.0000  2 Be 2.30
Be 0.0000 0.0000 0.0000  2 Al 2.03
Al 0.0000 0.0000 0.5000  2 Be 2.03
B 0.5000 0.5000 0.5000  8 Zr 3.07, 4 Al 3.25

Properties
Formation enthalpy at 0 K   57.0 kJ per mole of atoms
Total energy   -5.66 eV/atom
Crystal system   tetragonal
N(E_F)   1.9 states/eV/cell

---

# 5
AlBiB3: relaxed, PBE.

Cell lengths 4.2680, 4.2680, 4.2680 Å; angles 90.00, 90.00, 90.00 degrees
Last column: nearest neighbours and their distance in Å.
Space group Pm-3m (No. 221)
Symmetry-distinct sites (fractional):
Al 0.0000 0.0000 0.0000  6 B 2.13
Bi 0.5000 0.5000 0.5000  12 B 3.02
B 0.0000 0.0000 0.5000  2 Al 2.13

Properties
Formation enthalpy at 0 K   155.6 kJ per mole of atoms
Total energy   -3.92 eV/atom
Crystal system   cubic
Distance to the lowest polymorph of the same formula   0.000 eV/atom
N(E_F)   3.0 states/eV/cell

---

# 6
AlBi2B: relaxed, PBE.

Cell lengths 7.1168, 7.1168, 7.1168 Å; angles 90.00, 90.00, 90.00 degrees
Last column: nearest neighbours and their distance in Å.
Space group Fm-3m (No. 225)
Symmetry-distinct sites (fractional):
Al 0.0000 0.0000 0.0000  8 Bi 3.08
Bi 0.2500 0.2500 0.2500  4 Al 3.08, 4 B 3.08
B 0.0000 0.0000 0.5000  8 Bi 3.08

Properties
Formation enthalpy at 0 K   96.5 kJ per mole of atoms
Total energy   -3.54 eV/atom
Crystal system   cubic
Distance to the lowest polymorph of the same formula   0.480 eV/atom
N(E_F)   12.5 states/eV/cell

---

# 7
Al3BiB: relaxed, PBE.

Cell lengths 5.5224, 5.5224, 5.5224 Å; angles 90.00, 90.00, 90.00 degrees
Last column: nearest neighbours and their distance in Å.
Space group Pm-3m (No. 221)
Symmetry-distinct sites (fractional):
Al 0.0000 0.0000 0.5000  2 Bi 2.76
Bi 0.0000 0.0000 0.0000  6 Al 2.76
B 0.5000 0.5000 0.5000  12 Al 3.90

Properties
Formation enthalpy at 0 K   187.6 kJ per mole of atoms
Total energy   -2.41 eV/atom
Crystal system   cubic
Distance to the lowest polymorph of the same formula   1.683 eV/atom
N(E_F)   5.1 states/eV/cell

---

# 8
AlBiB3: relaxed, PBE.

Cell lengths 4.7118, 4.7118, 4.7118 Å; angles 90.00, 90.00, 90.00 degrees
Last column: nearest neighbours and their distance in Å.
Space group Pm-3m (No. 221)
Symmetry-distinct sites (fractional):
Al 0.0000 0.0000 0.0000  12 B 3.33
Bi 0.5000 0.5000 0.5000  6 B 2.36
B 0.0000 0.5000 0.5000  2 Bi 2.36

Properties
Formation enthalpy at 0 K   240.3 kJ per mole of atoms
Total energy   -3.04 eV/atom
Crystal system   cubic
Distance to the lowest polymorph of the same formula   0.878 eV/atom
N(E_F)   3.4 states/eV/cell

---

Among the records above, which one has the highest formation enthalpy at 0 K? RbBeAl2B